No. 1
ReP2Pd: relaxed, GGA-PBE.

Structure (CIF):
```
data_ReP2Pd
_cell_length_a 5.368
_cell_length_b 5.368
_cell_length_c 10.619
_cell_angle_alpha 90.00
_cell_angle_beta 90.00
_cell_angle_gamma 90.00
_space_group_name_H-M_alt 'I -4 2 d'
_space_group_IT_number 122
_space_group_name_Hall 'I -4 2bw'
loop_
_atom_site_label
_atom_site_type_symbol
_atom_site_fract_x
_atom_site_fract_y
_atom_site_fract_z
Re1 Re 0.000 0.000 0.000
P1 P 0.237 0.250 0.125
Pd1 Pd 0.000 0.000 0.500
```

Formation enthalpy at 0 K = -0.04 eV/atom
E above lowest polymorph = 197 meV per atom
ρ = 7.70 g cm⁻³
DOS at the Fermi energy = 0.53 states/eV per atom

=====

No. 2
Pm4MgCd7: relaxed, GGA-PBE.

Structure (CIF):
```
data_Pm4MgCd7
_cell_length_a 15.585
_cell_length_b 5.205
_cell_length_c 9.572
_cell_angle_alpha 90.00
_cell_angle_beta 121.95
_cell_angle_gamma 90.00
_space_group_name_H-M_alt 'C 1 2/m 1'
_space_group_IT_number 12
_space_group_name_Hall '-C 2y'
loop_
_atom_site_label
_atom_site_type_symbol
_atom_site_fract_x
_atom_site_fract_y
_atom_site_fract_z
Pm1 Pm 0.065 0.000 0.240
Pm2 Pm 0.232 0.000 0.751
Mg1 Mg 0.000 0.500 0.500
Cd1 Cd 0.000 0.000 0.500
Cd2 Cd 0.091 0.500 0.857
Cd3 Cd 0.179 0.000 0.035
Cd4 Cd 0.190 0.500 0.505
```

Formation enthalpy at 0 K = -0.16 eV/atom
ρ = 7.01 g cm⁻³
DOS at the Fermi energy = 0.77 states/eV per atom